Entry 1:
The following is a DFT calculation (GGA+U) of a relaxed NiSb2O6 crystal.

DOS(E_F)   1.215 states/eV/cell
Electronic total energy   -157.09 eV/cell
Relative energy among the computed polymorphs   68 meV per atom

a = 8.7863 Å, b = 8.7863 Å, c = 4.5124 Å
α = 90.00°, β = 90.00°, γ = 120.00°
Closest atoms and distances in Å follow each position.
Positions (direct):
Ni (0.0000, 0.0000, 0.0000)  6 O 2.03
Ni (0.3333, 0.6667, 0.5043)  6 O 2.04
Ni (0.6667, 0.3333, 0.4957)  6 O 2.04
Sb (0.0000, 0.3144, 0.5000)  6 O 2.00-2.05
Sb (0.0000, 0.6486, 0.0000)  6 O 2.00-2.05
Sb (0.3144, 0.0000, 0.5000)  6 O 2.00-2.05
Sb (0.3514, 0.3514, 0.0000)  6 O 2.00-2.05
Sb (0.6486, 0.0000, 0.0000)  6 O 2.00-2.05
Sb (0.6856, 0.6856, 0.5000)  6 O 2.00-2.05
O (0.1034, 0.8773, 0.7630)  2 Sb 2.00-2.05, 1 Ni 2.03
O (0.1074, 0.5401, 0.7465)  2 Sb 2.00-2.05, 1 Ni 2.04
O (0.1227, 0.2261, 0.7630)  2 Sb 2.00-2.05, 1 Ni 2.03
O (0.2173, 0.7768, 0.2617)  2 Sb 2.01-2.04, 1 Ni 2.04
O (0.2232, 0.4405, 0.2617)  2 Sb 2.01-2.04, 1 Ni 2.04
O (0.2261, 0.1227, 0.2370)  2 Sb 2.00-2.05, 1 Ni 2.03
O (0.4327, 0.8926, 0.7465)  2 Sb 2.00-2.05, 1 Ni 2.04
O (0.4405, 0.2232, 0.7383)  2 Sb 2.01-2.04, 1 Ni 2.04
O (0.4599, 0.5673, 0.7465)  2 Sb 2.00-2.05, 1 Ni 2.04
O (0.5401, 0.1074, 0.2535)  2 Sb 2.00-2.05, 1 Ni 2.04
O (0.5595, 0.7827, 0.2617)  2 Sb 2.01-2.04, 1 Ni 2.04
O (0.5673, 0.4599, 0.2535)  2 Sb 2.00-2.05, 1 Ni 2.04
O (0.7739, 0.8966, 0.7630)  2 Sb 2.00-2.05, 1 Ni 2.03
O (0.7768, 0.2173, 0.7383)  2 Sb 2.01-2.04, 1 Ni 2.04
O (0.7827, 0.5595, 0.7383)  2 Sb 2.01-2.04, 1 Ni 2.04
O (0.8773, 0.1034, 0.2370)  2 Sb 2.00-2.05, 1 Ni 2.03
O (0.8926, 0.4327, 0.2535)  2 Sb 2.00-2.05, 1 Ni 2.04
O (0.8966, 0.7739, 0.2370)  2 Sb 2.00-2.05, 1 Ni 2.03

***

Entry 2:
The following is a DFT calculation (GGA+U) of a relaxed Ni2Sb2O7 crystal.

DOS(E_F)   22.338 states/eV/cell
Electronic total energy   -115.85 eV/cell
Relative energy among the computed polymorphs   135 meV per atom

a = 7.1734 Å, b = 7.1734 Å, c = 7.1734 Å
α = 60.00°, β = 60.00°, γ = 60.00°
Closest atoms and distances in Å follow each position.
Positions (direct):
Ni (0.0000, 0.0000, 0.0000)  2 O 2.20
Ni (0.0000, 0.0000, 0.5000)  2 O 2.20
Ni (0.0000, 0.5000, 0.0000)  2 O 2.20
Ni (0.5000, 0.0000, 0.0000)  2 O 2.20
Sb (0.0000, 0.5000, 0.5000)  6 O 1.97
Sb (0.5000, 0.0000, 0.5000)  6 O 1.97
Sb (0.5000, 0.5000, 0.0000)  6 O 1.97
Sb (0.5000, 0.5000, 0.5000)  6 O 1.97
O (0.1250, 0.1250, 0.1250)  4 Ni 2.20
O (0.1685, 0.1685, 0.5815)  2 Sb 1.97
O (0.1685, 0.5815, 0.1685)  2 Sb 1.97
O (0.1685, 0.5815, 0.5815)  2 Sb 1.97
O (0.4185, 0.4185, 0.8315)  2 Sb 1.97
O (0.4185, 0.8315, 0.4185)  2 Sb 1.97
O (0.4185, 0.8315, 0.8315)  2 Sb 1.97
O (0.5815, 0.1685, 0.1685)  2 Sb 1.97
O (0.5815, 0.1685, 0.5815)  2 Sb 1.97
O (0.5815, 0.5815, 0.1685)  2 Sb 1.97
O (0.8315, 0.4185, 0.4185)  2 Sb 1.97
O (0.8315, 0.4185, 0.8315)  2 Sb 1.97
O (0.8315, 0.8315, 0.4185)  2 Sb 1.97
O (0.8750, 0.8750, 0.8750)  4 Ni 2.20

***

Entry 3:
The following is a DFT calculation (GGA+U) of a relaxed Ni2Sb2O7 crystal.

DOS(E_F)   1.212 states/eV/cell
Electronic total energy   -59.40 eV/cell
Relative energy among the computed polymorphs   0 meV per atom

a = 5.0412 Å, b = 5.0412 Å, c = 5.1647 Å
α = 95.54°, β = 95.54°, γ = 82.08°
Closest atoms and distances in Å follow each position.
Positions (direct):
Ni (0.2155, 0.7845, 0.0000)  4 O 1.97-2.00
Ni (0.7845, 0.2155, 0.0000)  4 O 1.97-2.00
Sb (0.2334, 0.2334, 0.5084)  6 O 2.03-2.13
Sb (0.7666, 0.7666, 0.4916)  6 O 2.03-2.13
O (0.0215, 0.5434, 0.7487)  1 Ni 1.97, 2 Sb 2.06-2.13
O (0.0383, 0.0383, 0.7424)  2 Ni 2.00, 1 Sb 2.03
O (0.4566, 0.9785, 0.2513)  1 Ni 1.97, 2 Sb 2.06-2.13
O (0.5000, 0.5000, 0.5000)  2 Sb 2.03
O (0.5434, 0.0215, 0.7487)  1 Ni 1.97, 2 Sb 2.06-2.13
O (0.9617, 0.9617, 0.2576)  2 Ni 2.00, 1 Sb 2.03
O (0.9785, 0.4566, 0.2513)  1 Ni 1.97, 2 Sb 2.06-2.13

***

Entry 4:
The following is a DFT calculation (GGA+U) of a relaxed Sc2NiSbO6 crystal.

DOS(E_F)   3.218 states/eV/cell
Electronic total energy   -71.92 eV/cell

a = 5.7133 Å, b = 5.7133 Å, c = 5.7133 Å
α = 56.40°, β = 56.40°, γ = 56.40°
Closest atoms and distances in Å follow each position.
Positions (direct):
Sc (0.0000, 0.0000, 0.0000)  6 O 2.07-2.23
Sc (0.4968, 0.4968, 0.4968)  6 O 2.08-2.21
Ni (0.7908, 0.7908, 0.7908)  6 O 2.14-2.16
Sb (0.2873, 0.2873, 0.2873)  6 O 2.13-2.19
O (0.0947, 0.6883, 0.3900)  2 Sc 2.07-2.21, 1 Ni 2.14, 1 Sb 2.19
O (0.1914, 0.6000, 0.8844)  2 Sc 2.08-2.23, 1 Sb 2.13, 1 Ni 2.16
O (0.3900, 0.0947, 0.6883)  2 Sc 2.07-2.21, 1 Ni 2.14, 1 Sb 2.19
O (0.6000, 0.8844, 0.1914)  2 Sc 2.08-2.23, 1 Sb 2.13, 1 Ni 2.16
O (0.6883, 0.3900, 0.0947)  2 Sc 2.07-2.21, 1 Ni 2.14, 1 Sb 2.19
O (0.8844, 0.1914, 0.6000)  2 Sc 2.08-2.23, 1 Sb 2.13, 1 Ni 2.16

***

Entry 5:
The following is a DFT calculation (GGA+U) of a relaxed SiNi2SbO6 crystal.

DOS(E_F)   1.893 states/eV/cell
Electronic total energy   -56.03 eV/cell

a = 5.1555 Å, b = 5.1555 Å, c = 4.7851 Å
α = 90.00°, β = 90.00°, γ = 90.00°
Closest atoms and distances in Å follow each position.
Positions (direct):
Si (0.0000, 0.0000, 0.0000)  1 O 1.60
Ni (0.0000, 0.5000, 0.3296)  4 O 2.06
Ni (0.5000, 0.0000, 0.3296)  4 O 2.06
Sb (0.5000, 0.5000, 0.9505)  5 O 1.94-2.14
O (0.0000, 0.0000, 0.6664)  1 Si 1.60
O (0.2323, 0.2323, 0.1329)  1 Si 1.81
O (0.2323, 0.7677, 0.1329)  1 Si 1.81
O (0.5000, 0.5000, 0.5460)  1 Sb 1.94
O (0.7677, 0.2323, 0.1329)  1 Si 1.81
O (0.7677, 0.7677, 0.1329)  1 Si 1.81

***

Entry 6:
The following is a DFT calculation (GGA+U) of a relaxed SmNi2SbO6 crystal.

DOS(E_F)   0.000 states/eV/cell
Electronic total energy   -61.85 eV/cell

a = 5.7463 Å, b = 5.7463 Å, c = 5.7463 Å
α = 55.79°, β = 55.79°, γ = 55.79°
Closest atoms and distances in Å follow each position.
Positions (direct):
Sm (0.0000, 0.0000, 0.0000)  6 O 2.25-2.45
Ni (0.2807, 0.2807, 0.2807)  6 O 2.10-2.19
Ni (0.7887, 0.7887, 0.7887)  6 O 2.04-2.18
Sb (0.4831, 0.4831, 0.4831)  6 O 2.02-2.04
O (0.0880, 0.6502, 0.4303)  2 Ni 2.04-2.19, 1 Sb 2.04, 1 Sm 2.25
O (0.2068, 0.5624, 0.8719)  1 Sb 2.02, 2 Ni 2.10-2.18
O (0.4303, 0.0880, 0.6502)  2 Ni 2.04-2.19, 1 Sb 2.04, 1 Sm 2.25
O (0.5624, 0.8719, 0.2068)  1 Sb 2.02, 2 Ni 2.10-2.18
O (0.6502, 0.4303, 0.0880)  2 Ni 2.04-2.19, 1 Sb 2.04, 1 Sm 2.25
O (0.8719, 0.2068, 0.5624)  1 Sb 2.02, 2 Ni 2.10-2.18

***

Entry 7:
The following is a DFT calculation (GGA+U) of a relaxed Ni2SnSbO6 crystal.

DOS(E_F)   2.456 states/eV/cell
Electronic total energy   -55.71 eV/cell

a = 5.6828 Å, b = 5.6828 Å, c = 5.6828 Å
α = 55.94°, β = 55.94°, γ = 55.94°
Closest atoms and distances in Å follow each position.
Positions (direct):
Ni (0.0000, 0.0000, 0.0000)  6 O 2.07-2.17
Ni (0.5000, 0.5000, 0.5000)  6 O 2.08-2.17
Sn (0.2942, 0.2942, 0.2942)  6 O 2.08-2.18
Sb (0.7943, 0.7943, 0.7943)  6 O 2.10-2.18
O (0.1001, 0.3927, 0.6997)  2 Ni 2.07-2.17, 1 Sb 2.10, 1 Sn 2.18
O (0.1992, 0.8959, 0.5978)  2 Ni 2.08-2.17, 1 Sn 2.08, 1 Sb 2.18
O (0.3927, 0.6997, 0.1001)  2 Ni 2.07-2.17, 1 Sb 2.10, 1 Sn 2.18
O (0.5978, 0.1992, 0.8959)  2 Ni 2.08-2.17, 1 Sn 2.08, 1 Sb 2.18
O (0.6997, 0.1001, 0.3927)  2 Ni 2.07-2.17, 1 Sb 2.10, 1 Sn 2.18
O (0.8959, 0.5978, 0.1992)  2 Ni 2.08-2.17, 1 Sn 2.08, 1 Sb 2.18

***

Entry 8:
The following is a DFT calculation (GGA+U) of a relaxed NiSnSbO6 crystal.

DOS(E_F)   6.293 states/eV/cell
Electronic total energy   -102.08 eV/cell

a = 5.3329 Å, b = 5.3329 Å, c = 8.7121 Å
α = 90.00°, β = 90.00°, γ = 120.00°
Closest atoms and distances in Å follow each position.
Positions (direct):
Ni (0.0000, 0.0000, 0.0000)  6 O 2.14
Ni (0.0000, 0.0000, 0.5000)  6 O 2.14
Sn (0.3333, 0.6667, 0.2500)  6 O 2.10
Sn (0.6667, 0.3333, 0.7500)  6 O 2.10
Sb (0.3333, 0.6667, 0.7500)  6 O 2.02
Sb (0.6667, 0.3333, 0.2500)  6 O 2.02
O (0.0113, 0.3479, 0.6270)  1 Sb 2.02, 1 Sn 2.10, 1 Ni 2.14
O (0.0113, 0.6634, 0.8730)  1 Sb 2.02, 1 Sn 2.10, 1 Ni 2.14
O (0.3366, 0.3479, 0.8730)  1 Sb 2.02, 1 Sn 2.10, 1 Ni 2.14
O (0.3366, 0.9887, 0.6270)  1 Sb 2.02, 1 Sn 2.10, 1 Ni 2.14
O (0.3479, 0.0113, 0.1270)  1 Sb 2.02, 1 Sn 2.10, 1 Ni 2.14
O (0.3479, 0.3366, 0.3730)  1 Sb 2.02, 1 Sn 2.10, 1 Ni 2.14
O (0.6521, 0.6634, 0.6270)  1 Sb 2.02, 1 Sn 2.10, 1 Ni 2.14
O (0.6521, 0.9887, 0.8730)  1 Sb 2.02, 1 Sn 2.10, 1 Ni 2.14
O (0.6634, 0.0113, 0.3730)  1 Sb 2.02, 1 Sn 2.10, 1 Ni 2.14
O (0.6634, 0.6521, 0.1270)  1 Sb 2.02, 1 Sn 2.10, 1 Ni 2.14
O (0.9887, 0.3366, 0.1270)  1 Sb 2.02, 1 Sn 2.10, 1 Ni 2.14
O (0.9887, 0.6521, 0.3730)  1 Sb 2.02, 1 Sn 2.10, 1 Ni 2.14

***

Q: What is the electronic total energy in the second record?
A: -115.85 eV/cell

***

Q: The highest electronic total energy belongs to which entry?
A: Ni2SnSbO6

***

Q: Among the records above, which one has the lowest DOS(E_F)?
A: SmNi2SbO6

***

Q: electronic total energy of number 5 (SiNi2SbO6)?
A: -56.03 eV/cell